Version w
Computed, not measured: a relaxed structure of Dy2Tm5Sc at the PBE-GGA level of DFT.

Output
- theoretical density (g/cm³) = 8.289
- crystal system = orthorhombic

```
data_Dy2Tm5Sc
_cell_length_a 5.412
_cell_length_b 11.717
_cell_length_c 15.351
_cell_angle_alpha 90.00
_cell_angle_beta 90.00
_cell_angle_gamma 90.00
_symmetry_space_group_name_H-M 'C m c m'
_symmetry_Int_Tables_number 63
_symmetry_space_group_name_Hall '-C 2c 2'
loop_
_atom_site_label
_atom_site_type_symbol
_atom_site_fract_x
_atom_site_fract_y
_atom_site_fract_z
Dy1 Dy 0.000 0.220 0.132
Tm1 Tm 0.000 0.082 0.594
Tm2 Tm 0.000 0.383 0.550
Tm3 Tm 0.000 0.461 0.250
Sc1 Sc 0.000 0.268 0.750
```

=====

Version x
Computed, not measured: a relaxed structure of Dy2Tm5Sc at the PBE-GGA level of DFT.

Output
- theoretical density (g/cm³) = 8.411
- crystal system = orthorhombic

```
data_Dy2Tm5Sc
_cell_length_a 7.091
_cell_length_b 11.019
_cell_length_c 12.277
_cell_angle_alpha 90.00
_cell_angle_beta 90.00
_cell_angle_gamma 90.00
_symmetry_space_group_name_H-M 'F m m 2'
_symmetry_Int_Tables_number 42
_symmetry_space_group_name_Hall 'F 2 -2'
loop_
_atom_site_label
_atom_site_type_symbol
_atom_site_fract_x
_atom_site_fract_y
_atom_site_fract_z
Dy1 Dy 0.000 0.247 0.000
Tm1 Tm 0.000 0.000 0.665
Tm2 Tm 0.248 0.000 0.416
Tm3 Tm 0.250 0.250 0.249
Sc1 Sc 0.000 0.000 0.166
```

=====

It is version x that is the most stable of them.

=====

Version w
Computed, not measured: a relaxed structure of Dy3Tm7Sc at the PBE-GGA level of DFT.

Output
- theoretical density (g/cm³) = 8.171
- crystal system = trigonal

```
data_Dy3Tm7Sc
_cell_length_a 6.9050
_cell_length_b 6.9050
_cell_length_c 8.4402
_cell_angle_alpha 90.00
_cell_angle_beta 90.00
_cell_angle_gamma 120.00
_symmetry_space_group_name_H-M 'P 3 m 1'
_symmetry_Int_Tables_number 156
loop_
_symmetry_equiv_pos_as_xyz
'x,y,z'
'-y,x-y,z'
'-x+y,-x,z'
'-y,-x,z'
'-x+y,y,z'
'x,x-y,z'
loop_
_atom_site_label
_atom_site_type_symbol
_atom_site_fract_x
_atom_site_fract_y
_atom_site_fract_z
Dy1 Dy 0.1674 0.3348 0.0000
Tm1 Tm 0.0000 0.0000 0.6617
Tm2 Tm 0.0034 0.5017 0.6594
Tm3 Tm 0.3311 0.1655 0.3335
Sc1 Sc 0.3333 0.6667 0.3351
```

=====

Version x
Computed, not measured: a relaxed structure of Dy3Tm7Sc at the PBE-GGA level of DFT.

Output
- theoretical density (g/cm³) = 8.414
- crystal system = monoclinic

```
data_Dy3Tm7Sc
_cell_length_a 6.689
_cell_length_b 5.355
_cell_length_c 9.742
_cell_angle_alpha 90.00
_cell_angle_beta 104.08
_cell_angle_gamma 90.00
_symmetry_space_group_name_H-M 'P 1 2/m 1'
_symmetry_Int_Tables_number 10
loop_
_symmetry_equiv_pos_as_xyz
'x,y,z'
'-x,-y,-z'
'-x,y,-z'
'x,-y,z'
loop_
_atom_site_label
_atom_site_type_symbol
_atom_site_fract_x
_atom_site_fract_y
_atom_site_fract_z
Dy1 Dy 0.000 0.000 0.000
Dy2 Dy 0.269 0.500 0.478
Tm1 Tm 0.000 0.000 0.500
Tm2 Tm 0.167 0.500 0.785
Tm3 Tm 0.314 0.500 0.124
Tm4 Tm 0.466 0.000 0.327
Sc1 Sc 0.500 0.000 0.000
```

=====

It is version x that is the most stable of them.